[1]
Entry from Alexandria via LeMat-Bulk: crystalline KPt7 at its relaxed geometry (PBE).

The value obtained for the density of states at the Fermi level is 49.75 states/eV per cell. Its energy of formation is 0.19 eV per atom.

The space group is Fm-3m (No. 225) and the conventional cell measures 8.0786, 8.0786 and 8.0786 Å, with angles of 90.00, 90.00 and 90.00 degrees. The inequivalent atoms are K at (0.0000, 0.0000, 0.0000), Pt at (0.0000, 0.0000, 0.5000) and Pt at (0.0000, 0.2500, 0.2500).

[2]
Entry from Alexandria via LeMat-Bulk: crystalline KPt4 at its relaxed geometry (PBE).

The energy above the most stable polymorph in this dataset comes out at 1412 meV per atom. The value obtained for the density of states at the Fermi level is 14.53 states/eV per cell. Its energy of formation is 1.60 eV per atom.

The space group is Im-3m (No. 229) and the conventional cell measures 6.0050, 6.0050 and 6.0050 Å, with angles of 90.00, 90.00 and 90.00 degrees. The inequivalent atoms are K at (0.0000, 0.0000, 0.0000) and Pt at (0.2500, 0.2500, 0.2500).

[3]
Entry from Alexandria via LeMat-Bulk: crystalline K4Pt at its relaxed geometry (PBE).

The energy above the most stable polymorph in this dataset comes out at 11 meV per atom. The value obtained for the density of states at the Fermi level is 1.19 states/eV per cell. Its energy of formation is 0.04 eV per atom.

The space group is Pm-3m (No. 221) and the conventional cell measures 6.3766, 6.3766 and 6.3766 Å, with angles of 90.00, 90.00 and 90.00 degrees. The inequivalent atoms are K at (0.0000, 0.0000, 0.0000), K at (0.0000, 0.5000, 0.5000) and Pt at (0.5000, 0.5000, 0.5000).